{"formula": "Rb3Sc2MnTe6", "functional": "GGA-PBE", "state": "relaxed", "spacegroup": "No. 12", "n_ef_per_ev_fu": 6.06, "total_energy_ev_per_cell": -55.10, "total_magnetization_mub_per_fu": 4.01, "vol_a3_per_atom": 33.994, "cell": [[-3.600, -3.394, 5.573], [6.942, 2.497, 1.057], [-4.195, 7.759, 0.331]], "species": ["Te", "Te", "Te", "Te", "Te", "Te", "Rb", "Rb", "Rb", "Mn", "Sc", "Sc"], "fractional_positions": [[0.616, 0.939, 0.817], [0.263, 0.263, 0.813], [0.939, 0.616, 0.817], [0.737, 0.737, 0.187], [0.384, 0.061, 0.183], [0.061, 0.384, 0.183], [0.831, 0.169, 0.500], [0.169, 0.831, 0.500], [0.500, 0.500, 0.500], [0.000, 0.000, 0.000], [0.666, 0.334, 0.000], [0.334, 0.666, 0.000]]}